Record 1
## ZrPbBr2 (meta-GGA SCAN)

Data for ZrPbBr2 at its PBEsol-relaxed geometry.

Structure (CIF):
```
data_ZrPbBr2
_space_group_name_H-M_alt 'C m m m'
_space_group_IT_number 65
_space_group_name_Hall '-C 2 2'
_cell_length_a 6.523
_cell_length_b 8.905
_cell_length_c 3.318
_cell_angle_alpha 90.00
_cell_angle_beta 90.00
_cell_angle_gamma 90.00
loop_
_atom_site_label
_atom_site_type_symbol
_atom_site_fract_x
_atom_site_fract_y
_atom_site_fract_z
Zr1 Zr 0.000 0.000 0.000
Pb1 Pb 0.000 0.500 0.000
Br1 Br 0.250 0.250 0.500
```

Values from the calculation:
For the formation energy (no corrections), the calculation gives -0.124 eV per atom. For the density, the calculation gives 7.90 g cm⁻³. As for the energy above the lowest structure with this stoichiometry: 0.2535 eV/atom.

=====

Record 2
## SrCuRu2 (meta-GGA SCAN)

Data for SrCuRu2 at its PBEsol-relaxed geometry.

Structure (CIF):
```
data_SrCuRu2
_space_group_name_H-M_alt 'I m m 2'
_space_group_IT_number 44
_cell_length_a 2.884
_cell_length_b 4.915
_cell_length_c 9.655
_cell_angle_alpha 90.00
_cell_angle_beta 90.00
_cell_angle_gamma 90.00
loop_
_space_group_symop_operation_xyz
'x,y,z'
'-x,-y,z'
'-x,y,z'
'x,-y,z'
'x+1/2,y+1/2,z+1/2'
'-x+1/2,-y+1/2,z+1/2'
'-x+1/2,y+1/2,z+1/2'
'x+1/2,-y+1/2,z+1/2'
loop_
_atom_site_label
_atom_site_type_symbol
_atom_site_fract_x
_atom_site_fract_y
_atom_site_fract_z
Sr1 Sr 0.000 0.000 0.000
Cu1 Cu 0.000 0.500 0.779
Ru1 Ru 0.000 0.000 0.505
Ru2 Ru 0.000 0.500 0.217
```

Values from the calculation:
For the density, the calculation gives 8.57 g cm⁻³. As for the energy above the lowest structure with this stoichiometry: 0.6742 eV/atom.

=====

Question: Look up the energy above the lowest structure with this stoichiometry of the second one.
Answer: 0.6742 eV/atom

=====

Question: Look up the energy above the lowest structure with this stoichiometry of the second one.
Answer: 0.6742 eV/atom

=====

Question: energy above the lowest structure with this stoichiometry of number 2 (SrCuRu2)?
Answer: 0.6742 eV/atom